[1]
{
  "formula": "Li2GdYGe2Pt2",
  "functional": "GGA-PBE",
  "state": "relaxed",
  "lattice": [[-4.165, 1.318, -1.541], [-1.957, -3.534, 2.267], [-0.751, 3.804, 5.280]],
  "species": ["Pt", "Ge", "Li", "Y", "Gd", "Li", "Ge", "Pt"],
  "frac_coords": [[0.000, 0.500, 0.251], [0.000, 0.000, 0.500], [0.000, 0.500, 0.750], [0.500, 0.500, 0.500], [0.000, 0.000, 0.000], [0.500, 0.000, 0.250], [0.500, 0.500, 0.000], [0.500, 0.000, 0.749]],
  "e_tot_ev_per_atom": -5.3648,
  "space_group": "P-4m2 (115)"
}

=====

[2]
{
  "formula": "Li3Gd3Si2Ge",
  "functional": "GGA-PBE",
  "state": "relaxed",
  "lattice": [[7.075, 0.000, 0.000], [-3.537, 6.127, 0.000], [0.000, 0.000, 4.260]],
  "species": ["Si", "Li", "Gd", "Gd", "Li", "Ge", "Li", "Gd", "Si"],
  "frac_coords": [[0.667, 0.333, 0.500], [0.000, 0.232, 0.500], [0.576, 0.000, 0.000], [0.000, 0.576, 0.000], [0.768, 0.768, 0.500], [0.000, 0.000, 0.000], [0.232, 0.000, 0.500], [0.424, 0.424, 0.000], [0.333, 0.667, 0.500]],
  "e_tot_ev_per_atom": -4.5437,
  "space_group": "P-62m (189)"
}

=====

[3]
{
  "formula": "Li3Gd3SnGe2",
  "functional": "GGA-PBE",
  "state": "relaxed",
  "lattice": [[7.176, 0.000, 0.000], [-3.588, 6.215, 0.000], [0.000, 0.000, 4.361]],
  "species": ["Ge", "Li", "Ge", "Gd", "Li", "Gd", "Gd", "Li", "Sn"],
  "frac_coords": [[0.333, 0.667, 0.500], [0.242, 0.000, 0.500], [0.667, 0.333, 0.500], [0.000, 0.558, 0.000], [0.000, 0.242, 0.500], [0.442, 0.442, 0.000], [0.558, 0.000, 0.000], [0.758, 0.758, 0.500], [0.000, 0.000, 0.000]],
  "e_tot_ev_per_atom": -4.3699,
  "space_group": "P-62m (189)"
}